{
  "formula": "Sm2TeSe",
  "functional": "PBE",
  "state": "relaxed",
  "cell": [[4.1971, 0.0000, 0.0000], [2.0986, 3.6348, 0.0000], [2.0986, 1.2116, 7.4318]],
  "species": ["Sm", "Sm", "Te", "Se"],
  "frac_coords": [[0.0728, 0.0728, 0.7815], [0.2600, 0.2600, 0.2201], [0.4992, 0.4992, 0.5025], [0.6680, 0.6680, 0.9959]],
  "energy_ev_per_fu": -22.60,
  "m_tot_mub_per_fu": 0.00
}